A plane-wave DFT calculation with PBE was carried out for a relaxed structure of Li2Si3O7.

Cell lengths 6.0667, 4.9378, 19.9209 Å; angles 90.00, 90.00, 90.00 degrees
Space group Pbcm (No. 57)
Unique sites:
Li 0.1464 0.0573 0.0443
Si 0.1509 0.5767 0.2500
Si 0.3540 0.5518 0.1046
O 0.0725 0.6078 0.7500
O 0.1615 0.0457 0.5557
O 0.2992 0.5131 0.1842
O 0.4138 0.6228 0.5907

Values from the calculation:
- Energy: -347.3 eV for the cell shown
- Uncorrected formation energy: -2669 meV per atom